# 1
# Sc3OsSe | Alexandria | meta-GGA SCAN | single point on PBEsol structure
# formation energy without anion corrections = 0.086 eV/atom
# DOS(E_F) = 1.018 states/eV per atom
# magnetic moment = 0.00 μB/f.u.
# density = 6.163 g/cm3
data_Sc3OsSe
_symmetry_space_group_name_H-M 'P m -3 m'
_symmetry_Int_Tables_number 221
_symmetry_space_group_name_Hall '-P 4 2 3'
_cell_length_a 4.7750
_cell_length_b 4.7750
_cell_length_c 4.7750
_cell_angle_alpha 90.00
_cell_angle_beta 90.00
_cell_angle_gamma 90.00
loop_
_atom_site_label
_atom_site_type_symbol
_atom_site_fract_x
_atom_site_fract_y
_atom_site_fract_z
_atom_site_occupancy
Sc1 Sc 0.0000 0.0000 0.5000 1
Os1 Os 0.5000 0.5000 0.5000 1
Se1 Se 0.0000 0.0000 0.0000 1



# 2
# ScSi3Os | Alexandria | meta-GGA SCAN | single point on PBEsol structure
# formation energy without anion corrections = 2.050 eV/atom
# DOS(E_F) = 0.515 states/eV per atom
# magnetic moment = 0.00 μB/f.u.
# density = 5.496 g/cm3
data_ScSi3Os
_symmetry_space_group_name_H-M 'P m -3 m'
_symmetry_Int_Tables_number 221
_symmetry_space_group_name_Hall '-P 4 2 3'
_cell_length_a 4.5870
_cell_length_b 4.5870
_cell_length_c 4.5870
_cell_angle_alpha 90.00
_cell_angle_beta 90.00
_cell_angle_gamma 90.00
loop_
_atom_site_label
_atom_site_type_symbol
_atom_site_fract_x
_atom_site_fract_y
_atom_site_fract_z
_atom_site_occupancy
Sc1 Sc 0.0000 0.0000 0.0000 1
Si1 Si 0.0000 0.0000 0.5000 1
Os1 Os 0.5000 0.5000 0.5000 1



# 3
# SrScOs3 | Alexandria | meta-GGA SCAN | single point on PBEsol structure
# DOS(E_F) = 0.655 states/eV per atom
# ΔE_f = 3.014 eV/atom
# magnetic moment = 0.00 μB/f.u.
# density = 11.081 g/cm3
data_SrScOs3
_symmetry_space_group_name_H-M 'P m -3 m'
_symmetry_Int_Tables_number 221
_symmetry_space_group_name_Hall '-P 4 2 3'
_cell_length_a 4.7235
_cell_length_b 4.7235
_cell_length_c 4.7235
_cell_angle_alpha 90.00
_cell_angle_beta 90.00
_cell_angle_gamma 90.00
loop_
_atom_site_label
_atom_site_type_symbol
_atom_site_fract_x
_atom_site_fract_y
_atom_site_fract_z
_atom_site_occupancy
Sr1 Sr 0.0000 0.0000 0.0000 1
Sc1 Sc 0.5000 0.5000 0.5000 1
Os1 Os 0.0000 0.0000 0.5000 1



# 4
# Sr4ScOs | Alexandria | meta-GGA SCAN | single point on PBEsol structure
# DOS(E_F) = 1.679 states/eV per atom
# ΔE_f = 1.388 eV/atom
# magnetic moment = 2.27 μB/f.u.
# density = 5.242 g/cm3
data_Sr4ScOs
_symmetry_space_group_name_H-M 'F -4 3 m'
_symmetry_Int_Tables_number 216
_symmetry_space_group_name_Hall 'F -4 2 3'
_cell_length_a 9.0538
_cell_length_b 9.0538
_cell_length_c 9.0538
_cell_angle_alpha 90.00
_cell_angle_beta 90.00
_cell_angle_gamma 90.00
loop_
_atom_site_label
_atom_site_type_symbol
_atom_site_fract_x
_atom_site_fract_y
_atom_site_fract_z
_atom_site_occupancy
Sr1 Sr 0.1234 0.1234 0.3766 1
Sc1 Sc 0.0000 0.0000 0.0000 1
Os1 Os 0.2500 0.2500 0.7500 1



# 5
# Sr2ScOs | Alexandria | meta-GGA SCAN | single point on PBEsol structure
# DOS(E_F) = 0.856 states/eV per atom
# ΔE_f = 0.119 eV/atom
# polymorph energy (0 for the lowest one) = 0 meV/atom
# magnetic moment = 0.36 μB/f.u.
# density = 5.905 g/cm3
data_Sr2ScOs
_symmetry_space_group_name_H-M 'P 4 m m'
_symmetry_Int_Tables_number 99
_cell_length_a 3.5027
_cell_length_b 3.5027
_cell_length_c 9.4078
_cell_angle_alpha 90.00
_cell_angle_beta 90.00
_cell_angle_gamma 90.00
loop_
_symmetry_equiv_pos_as_xyz
'x,y,z'
'-y,x,z'
'-x,-y,z'
'y,-x,z'
'-x,y,z'
'y,x,z'
'x,-y,z'
'-y,-x,z'
loop_
_atom_site_label
_atom_site_type_symbol
_atom_site_fract_x
_atom_site_fract_y
_atom_site_fract_z
_atom_site_occupancy
Sr1 Sr 0.0000 0.0000 0.0000 1
Sr2 Sr 0.5000 0.5000 0.3824 1
Sc1 Sc 0.0000 0.0000 0.6644 1
Os1 Os 0.5000 0.5000 0.7803 1



# 6
# Sr2ScOs | Alexandria | meta-GGA SCAN | single point on PBEsol structure
# DOS(E_F) = 0.928 states/eV per atom
# ΔE_f = 0.136 eV/atom
# polymorph energy (0 for the lowest one) = 17 meV/atom
# magnetic moment = 0.00 μB/f.u.
# density = 5.079 g/cm3
data_Sr2ScOs
_symmetry_space_group_name_H-M 'C 1 m 1'
_symmetry_Int_Tables_number 8
_cell_length_a 7.6872
_cell_length_b 4.4335
_cell_length_c 8.2775
_cell_angle_alpha 90.00
_cell_angle_beta 107.94
_cell_angle_gamma 90.00
loop_
_symmetry_equiv_pos_as_xyz
'x,y,z'
'x,-y,z'
'x+1/2,y+1/2,z'
'x+1/2,-y+1/2,z'
loop_
_atom_site_label
_atom_site_type_symbol
_atom_site_fract_x
_atom_site_fract_y
_atom_site_fract_z
_atom_site_occupancy
Sr1 Sr 0.0000 0.0000 0.0000 1
Sr2 Sr 0.1794 0.0000 0.5406 1
Sc1 Sc 0.2564 0.5000 0.2700 1
Os1 Os 0.4223 0.0000 0.2676 1



# 7
# ScTaOs2 | Alexandria | meta-GGA SCAN | single point on PBEsol structure
# DOS(E_F) = 0.547 states/eV per atom
# ΔE_f = -0.219 eV/atom
# polymorph energy (0 for the lowest one) = 483 meV/atom
# magnetic moment = 0.00 μB/f.u.
# density = 15.855 g/cm3
data_ScTaOs2
_symmetry_space_group_name_H-M 'P 1 m 1'
_symmetry_Int_Tables_number 6
_cell_length_a 2.8166
_cell_length_b 4.4744
_cell_length_c 5.1592
_cell_angle_alpha 90.00
_cell_angle_beta 102.38
_cell_angle_gamma 90.00
loop_
_symmetry_equiv_pos_as_xyz
'x,y,z'
'x,-y,z'
loop_
_atom_site_label
_atom_site_type_symbol
_atom_site_fract_x
_atom_site_fract_y
_atom_site_fract_z
_atom_site_occupancy
Sc1 Sc 0.0000 0.0000 0.0000 1
Ta1 Ta 0.7296 0.5000 0.2767 1
Os1 Os 0.2489 0.5000 0.7833 1
Os2 Os 0.5112 0.0000 0.5002 1



# 8
# ScTaOs2 | Alexandria | meta-GGA SCAN | single point on PBEsol structure
# DOS(E_F) = 0.072 states/eV per atom
# ΔE_f = -0.703 eV/atom
# polymorph energy (0 for the lowest one) = 0 meV/atom
# magnetic moment = 0.00 μB/f.u.
# density = 15.997 g/cm3
data_ScTaOs2
_symmetry_space_group_name_H-M 'F m -3 m'
_symmetry_Int_Tables_number 225
_symmetry_space_group_name_Hall '-F 4 2 3'
_cell_length_a 6.3144
_cell_length_b 6.3144
_cell_length_c 6.3144
_cell_angle_alpha 90.00
_cell_angle_beta 90.00
_cell_angle_gamma 90.00
loop_
_atom_site_label
_atom_site_type_symbol
_atom_site_fract_x
_atom_site_fract_y
_atom_site_fract_z
_atom_site_occupancy
Sc1 Sc 0.0000 0.0000 0.0000 1
Ta1 Ta 0.0000 0.0000 0.5000 1
Os1 Os 0.2500 0.2500 0.2500 1



- What is the formula in the fourth record?
  Sr4ScOs



- What is the formula in the seventh record?
  ScTaOs2



- density of number 8 (ScTaOs2)?
  15.997 g/cm3